(1)
La3Cd: optimized geometry, PBEsol.

Output
- DOS at the Fermi energy (states/eV/cell) = 14.6
- volume (Å³/f.u.) = 125.0
- space group = No. 223
- ΔH_f (0 K) (eV/atom) = -0.067

a b c (Å): 6.2990 6.2990 6.2990
angles (deg): 90.00 90.00 90.00
Fractional positions:
1 La 0.0000 0.2500 0.5000
2 La 0.0000 0.7500 0.5000
3 La 0.2500 0.5000 0.0000
4 La 0.5000 0.0000 0.2500
5 La 0.5000 0.0000 0.7500
6 La 0.7500 0.5000 0.0000
7 Cd 0.0000 0.0000 0.0000
8 Cd 0.5000 0.5000 0.5000



(2)
LaCd: optimized geometry, PBEsol.

Output
- DOS at the Fermi energy (states/eV/cell) = 1.8
- volume (Å³/f.u.) = 58.7
- space group = No. 166
- ΔH_f (0 K) (eV/atom) = -0.102

a b c (Å): 5.6109 5.6109 5.6109
angles (deg): 37.49 37.49 37.49
Fractional positions:
1 La 0.0000 0.0000 0.0000
2 Cd 0.5000 0.5000 0.5000



(3)
LaCd: optimized geometry, PBEsol.

Output
- DOS at the Fermi energy (states/eV/cell) = 2.7
- volume (Å³/f.u.) = 57.4
- space group = No. 221
- ΔH_f (0 K) (eV/atom) = -0.316

a b c (Å): 3.8566 3.8566 3.8566
angles (deg): 90.00 90.00 90.00
Fractional positions:
1 La 0.0000 0.0000 0.0000
2 Cd 0.5000 0.5000 0.5000



(4)
LaCd2: optimized geometry, PBEsol.

Output
- DOS at the Fermi energy (states/eV/cell) = 2.2
- volume (Å³/f.u.) = 75.6
- space group = No. 191
- ΔH_f (0 K) (eV/atom) = -0.387

a b c (Å): 5.0566 5.0566 3.4136
angles (deg): 90.00 90.00 120.00
Fractional positions:
1 La 0.0000 0.0000 0.0000
2 Cd 0.3333 0.6667 0.5000
3 Cd 0.6667 0.3333 0.5000



(5)
La2Cd: optimized geometry, PBEsol.

Output
- DOS at the Fermi energy (states/eV/cell) = 14.3
- volume (Å³/f.u.) = 87.6
- space group = No. 141
- ΔH_f (0 K) (eV/atom) = -0.163

a b c (Å): 15.2505 15.2505 15.2505
angles (deg): 161.68 161.68 26.02
Fractional positions:
1 La 0.1216 0.3716 0.7500
2 La 0.2871 0.5371 0.7500
3 La 0.3716 0.1216 0.2500
4 La 0.4629 0.7129 0.7500
5 La 0.5371 0.2871 0.2500
6 La 0.6284 0.8784 0.7500
7 La 0.7129 0.4629 0.2500
8 La 0.8784 0.6284 0.2500
9 Cd 0.0390 0.7890 0.2500
10 Cd 0.2110 0.9610 0.2500
11 Cd 0.7890 0.0390 0.7500
12 Cd 0.9610 0.2110 0.7500



(6)
LaCd: optimized geometry, PBEsol.

Output
- DOS at the Fermi energy (states/eV/cell) = 5.5
- volume (Å³/f.u.) = 54.2
- space group = No. 8
- ΔH_f (0 K) (eV/atom) = -0.251

a b c (Å): 6.3070 6.3070 7.5770
angles (deg): 108.40 108.40 34.86
Fractional positions:
1 La 0.0000 0.0000 0.0000
2 La 0.0179 0.0179 0.4661
3 La 0.3371 0.3371 0.6545
4 Cd 0.3179 0.3179 0.1337
5 Cd 0.6711 0.6711 0.8354
6 Cd 0.6978 0.6978 0.3025



(7)
La3Cd: optimized geometry, PBEsol.

Output
- DOS at the Fermi energy (states/eV/cell) = 5.3
- volume (Å³/f.u.) = 123.5
- space group = No. 44
- ΔH_f (0 K) (eV/atom) = -0.146

a b c (Å): 6.6537 6.6537 6.6537
angles (deg): 148.31 63.76 126.24
Fractional positions:
1 La 0.0000 0.0000 0.0000
2 La 0.1482 0.3740 0.7743
3 La 0.5997 0.3740 0.2257
4 Cd 0.5361 0.0361 0.5000



(8)
La2Cd: optimized geometry, PBEsol.

Output
- DOS at the Fermi energy (states/eV/cell) = 37.2
- volume (Å³/f.u.) = 93.9
- space group = No. 227
- ΔH_f (0 K) (eV/atom) = -0.147

a b c (Å): 10.2025 10.2025 10.2025
angles (deg): 60.00 60.00 60.00
Fractional positions:
1 La 0.0000 0.0000 0.0000
2 La 0.0000 0.0000 0.5000
3 La 0.0000 0.5000 0.0000
4 La 0.1883 0.1883 0.5617
5 La 0.1883 0.5617 0.1883
6 La 0.1883 0.5617 0.5617
7 La 0.4383 0.4383 0.8117
8 La 0.4383 0.8117 0.4383
9 La 0.4383 0.8117 0.8117
10 La 0.5000 0.0000 0.0000
11 La 0.5617 0.1883 0.1883
12 La 0.5617 0.1883 0.5617
13 La 0.5617 0.5617 0.1883
14 La 0.8117 0.4383 0.4383
15 La 0.8117 0.4383 0.8117
16 La 0.8117 0.8117 0.4383
17 Cd 0.1371 0.7876 0.7876
18 Cd 0.2124 0.2124 0.2124
19 Cd 0.2124 0.2124 0.8629
20 Cd 0.2124 0.8629 0.2124
21 Cd 0.7876 0.1371 0.7876
22 Cd 0.7876 0.7876 0.1371
23 Cd 0.7876 0.7876 0.7876
24 Cd 0.8629 0.2124 0.2124



(9)
LaCd8: optimized geometry, PBEsol.

Output
- DOS at the Fermi energy (states/eV/cell) = 2.9
- volume (Å³/f.u.) = 202.8
- space group = No. 139
- ΔH_f (0 K) (eV/atom) = -0.141

a b c (Å): 7.0276 7.0276 7.0276
angles (deg): 96.15 96.15 141.80
Fractional positions:
1 La 0.0000 0.0000 0.0000
2 Cd 0.0000 0.3429 0.3429
3 Cd 0.0000 0.6571 0.6571
4 Cd 0.3234 0.3234 0.6467
5 Cd 0.3234 0.6766 0.0000
6 Cd 0.3429 0.0000 0.3429
7 Cd 0.6571 0.0000 0.6571
8 Cd 0.6766 0.3234 0.0000
9 Cd 0.6766 0.6766 0.3533



(10)
LaCd11: optimized geometry, PBEsol.

Output
- DOS at the Fermi energy (states/eV/cell) = 10.5
- volume (Å³/f.u.) = 263.3
- space group = No. 221
- ΔH_f (0 K) (eV/atom) = -0.195

a b c (Å): 9.2435 9.2435 9.2435
angles (deg): 90.00 90.00 90.00
Fractional positions:
1 La 0.0000 0.0000 0.5000
2 La 0.0000 0.5000 0.0000
3 La 0.5000 0.0000 0.0000
4 Cd 0.0000 0.3455 0.3455
5 Cd 0.0000 0.3455 0.6545
6 Cd 0.0000 0.6545 0.3455
7 Cd 0.0000 0.6545 0.6545
8 Cd 0.1573 0.1573 0.1573
9 Cd 0.1573 0.1573 0.8427
10 Cd 0.1573 0.8427 0.1573
11 Cd 0.1573 0.8427 0.8427
12 Cd 0.2666 0.2666 0.5000
13 Cd 0.2666 0.5000 0.2666
14 Cd 0.2666 0.5000 0.7334
15 Cd 0.2666 0.7334 0.5000
16 Cd 0.3455 0.0000 0.3455
17 Cd 0.3455 0.0000 0.6545
18 Cd 0.3455 0.3455 0.0000
19 Cd 0.3455 0.6545 0.0000
20 Cd 0.5000 0.2666 0.2666
21 Cd 0.5000 0.2666 0.7334
22 Cd 0.5000 0.5000 0.5000
23 Cd 0.5000 0.7334 0.2666
24 Cd 0.5000 0.7334 0.7334
25 Cd 0.6545 0.0000 0.3455
26 Cd 0.6545 0.0000 0.6545
27 Cd 0.6545 0.3455 0.0000
28 Cd 0.6545 0.6545 0.0000
29 Cd 0.7334 0.2666 0.5000
30 Cd 0.7334 0.5000 0.2666
31 Cd 0.7334 0.5000 0.7334
32 Cd 0.7334 0.7334 0.5000
33 Cd 0.8427 0.1573 0.1573
34 Cd 0.8427 0.1573 0.8427
35 Cd 0.8427 0.8427 0.1573
36 Cd 0.8427 0.8427 0.8427



(11)
La2Cd: optimized geometry, PBEsol.

Output
- DOS at the Fermi energy (states/eV/cell) = 14.0
- volume (Å³/f.u.) = 94.0
- space group = No. 189
- ΔH_f (0 K) (eV/atom) = -0.134

a b c (Å): 8.4855 8.4855 4.5247
angles (deg): 90.00 90.00 120.00
Fractional positions:
1 La 0.0000 0.3977 0.0000
2 La 0.0000 0.7259 0.5000
3 La 0.2741 0.2741 0.5000
4 La 0.3977 0.0000 0.0000
5 La 0.6023 0.6023 0.0000
6 La 0.7259 0.0000 0.5000
7 Cd 0.0000 0.0000 0.0000
8 Cd 0.3333 0.6667 0.5000
9 Cd 0.6667 0.3333 0.5000



(12)
La5Cd4: optimized geometry, PBEsol.

Output
- DOS at the Fermi energy (states/eV/cell) = 28.1
- volume (Å³/f.u.) = 268.1
- space group = No. 193
- ΔH_f (0 K) (eV/atom) = -0.193

a b c (Å): 9.5812 9.5812 6.7453
angles (deg): 90.00 90.00 120.00
Fractional positions:
1 La 0.0000 0.2994 0.2500
2 La 0.0000 0.7006 0.7500
3 La 0.2994 0.0000 0.2500
4 La 0.2994 0.2994 0.7500
5 La 0.3333 0.6667 0.0000
6 La 0.3333 0.6667 0.5000
7 La 0.6667 0.3333 0.0000
8 La 0.6667 0.3333 0.5000
9 La 0.7006 0.0000 0.7500
10 La 0.7006 0.7006 0.2500
11 Cd 0.0000 0.0000 0.0000
12 Cd 0.0000 0.0000 0.5000
13 Cd 0.0000 0.3632 0.7500
14 Cd 0.0000 0.6368 0.2500
15 Cd 0.3632 0.0000 0.7500
16 Cd 0.3632 0.3632 0.2500
17 Cd 0.6368 0.0000 0.2500
18 Cd 0.6368 0.6368 0.7500



(13)
LaCd3: optimized geometry, PBEsol.

Output
- DOS at the Fermi energy (states/eV/cell) = 4.2
- volume (Å³/f.u.) = 99.2
- space group = No. 166
- ΔH_f (0 K) (eV/atom) = -0.058

a b c (Å): 6.2036 6.2036 6.2036
angles (deg): 117.35 117.35 117.35
Fractional positions:
1 La 0.0000 0.0000 0.0000
2 Cd 0.0000 0.5000 0.5000
3 Cd 0.5000 0.0000 0.5000
4 Cd 0.5000 0.5000 0.0000



(14)
La3Cd: optimized geometry, PBEsol.

Output
- DOS at the Fermi energy (states/eV/cell) = 4.7
- volume (Å³/f.u.) = 124.7
- space group = No. 71
- ΔH_f (0 K) (eV/atom) = -0.141

a b c (Å): 6.6802 6.6802 6.6802
angles (deg): 146.71 129.69 61.67
Fractional positions:
1 La 0.0000 0.0000 0.0000
2 La 0.2676 0.7676 0.5000
3 La 0.7324 0.2324 0.5000
4 Cd 0.5000 0.5000 0.0000



(15)
LaCd: optimized geometry, PBEsol.

Output
- DOS at the Fermi energy (states/eV/cell) = 28.8
- volume (Å³/f.u.) = 57.9
- space group = No. 57
- ΔH_f (0 K) (eV/atom) = -0.237

a b c (Å): 11.3092 9.3661 6.5550
angles (deg): 90.00 90.00 90.00
Fractional positions:
1 La 0.1207 0.2500 0.0000
2 La 0.1207 0.2500 0.5000
3 La 0.1858 0.6406 0.2500
4 La 0.1858 0.8594 0.7500
5 La 0.3678 0.0455 0.2500
6 La 0.3678 0.4545 0.7500
7 La 0.6322 0.5455 0.2500
8 La 0.6322 0.9545 0.7500
9 La 0.8142 0.1406 0.2500
10 La 0.8142 0.3594 0.7500
11 La 0.8793 0.7500 0.0000
12 La 0.8793 0.7500 0.5000
13 Cd 0.0721 0.5446 0.7500
14 Cd 0.0721 0.9554 0.2500
15 Cd 0.3758 0.1097 0.7500
16 Cd 0.3758 0.3903 0.2500
17 Cd 0.4318 0.7500 0.0000
18 Cd 0.4318 0.7500 0.5000
19 Cd 0.5682 0.2500 0.0000
20 Cd 0.5682 0.2500 0.5000
21 Cd 0.6242 0.6097 0.7500
22 Cd 0.6242 0.8903 0.2500
23 Cd 0.9279 0.0446 0.7500
24 Cd 0.9279 0.4554 0.2500



(16)
LaCd: optimized geometry, PBEsol.

Output
- DOS at the Fermi energy (states/eV/cell) = 3.4
- volume (Å³/f.u.) = 56.4
- space group = No. 63
- ΔH_f (0 K) (eV/atom) = -0.284

a b c (Å): 6.5987 6.5987 4.9414
angles (deg): 90.00 90.00 148.39
Fractional positions:
1 La 0.1627 0.8373 0.7500
2 La 0.8373 0.1627 0.2500
3 Cd 0.4347 0.5653 0.7500
4 Cd 0.5653 0.4347 0.2500



(17)
LaCd: optimized geometry, PBEsol.

Output
- DOS at the Fermi energy (states/eV/cell) = 6.7
- volume (Å³/f.u.) = 52.3
- space group = No. 227
- ΔH_f (0 K) (eV/atom) = -0.069

a b c (Å): 5.2880 5.2880 5.2880
angles (deg): 60.00 60.00 60.00
Fractional positions:
1 La 0.1250 0.1250 0.1250
2 La 0.8750 0.8750 0.8750
3 Cd 0.3750 0.3750 0.3750
4 Cd 0.6250 0.6250 0.6250



(18)
La5Cd: optimized geometry, PBEsol.

Output
- DOS at the Fermi energy (states/eV/cell) = 7.4
- volume (Å³/f.u.) = 193.2
- space group = No. 8
- ΔH_f (0 K) (eV/atom) = -0.090

a b c (Å): 6.4544 6.4544 8.9479
angles (deg): 110.26 110.26 33.78
Fractional positions:
1 La 0.0000 0.0000 0.0000
2 La 0.0025 0.0025 0.5731
3 La 0.3607 0.3607 0.2272
4 La 0.6680 0.6680 0.3690
5 La 0.7010 0.7010 0.8757
6 Cd 0.3237 0.3237 0.6801



(19)
La2Cd: optimized geometry, PBEsol.

Output
- DOS at the Fermi energy (states/eV/cell) = 8.6
- volume (Å³/f.u.) = 90.9
- space group = No. 140
- ΔH_f (0 K) (eV/atom) = -0.155

a b c (Å): 6.3766 6.3766 6.3766
angles (deg): 100.69 100.69 128.98
Fractional positions:
1 La 0.1509 0.6509 0.8017
2 La 0.3491 0.1509 0.5000
3 La 0.6509 0.8491 0.5000
4 La 0.8491 0.3491 0.1983
5 Cd 0.2500 0.2500 0.0000
6 Cd 0.7500 0.7500 0.0000



(20)
LaCd: optimized geometry, PBEsol.

Output
- DOS at the Fermi energy (states/eV/cell) = 2.9
- volume (Å³/f.u.) = 67.0
- space group = No. 225
- ΔH_f (0 K) (eV/atom) = 0.086

a b c (Å): 4.5583 4.5583 4.5583
angles (deg): 60.00 60.00 60.00
Fractional positions:
1 La 0.0000 0.0000 0.0000
2 Cd 0.5000 0.5000 0.5000